No. 1
The following is a DFT calculation (GGA-PBE) of a relaxed Pa2Pt13 crystal.

Cell: 7.408 7.408 7.408 Å, 57.97 57.97 57.97°
Sites, in units of the cell vectors:
Pa: 0.167 0.167 0.167
Pa: 0.833 0.833 0.833
Pt: 0.000 0.000 0.000
Pt: 0.163 0.163 0.548
Pt: 0.163 0.548 0.163
Pt: 0.289 0.693 0.693
Pt: 0.307 0.307 0.711
Pt: 0.307 0.711 0.307
Pt: 0.452 0.837 0.837
Pt: 0.548 0.163 0.163
Pt: 0.693 0.289 0.693
Pt: 0.693 0.693 0.289
Pt: 0.711 0.307 0.307
Pt: 0.837 0.452 0.837
Pt: 0.837 0.837 0.452

Electronic total energy = -103.9 eV for the cell shown
N(E_F) = 10.8 states/eV per cell
Crystal system = trigonal

No. 2
The following is a DFT calculation (GGA-PBE) of a relaxed RbIn2SbBr6 crystal.

Cell: 8.201 8.214 8.550 Å, 61.36 61.34 60.06°
Sites, in units of the cell vectors:
Rb: 0.000 0.000 0.000
In: 0.291 0.291 0.127
In: 0.800 0.801 0.598
Sb: 0.489 0.489 0.533
Br: 0.129 0.410 0.788
Br: 0.260 0.836 0.318
Br: 0.409 0.673 0.789
Br: 0.586 0.261 0.318
Br: 0.672 0.130 0.788
Br: 0.836 0.586 0.318

Electronic total energy = -29.2 eV for the cell shown
N(E_F) = 0.0 states/eV per cell
Crystal system = triclinic
ΔE_f (raw) = -0.8552 eV per atom

No. 3
The following is a DFT calculation (GGA-PBE) of a relaxed Re2SiCl crystal.

Cell: 4.274 2.845 5.140 Å, 90.00 111.76 90.00°
Sites, in units of the cell vectors:
Re: 0.000 0.000 0.000
Re: 0.000 0.500 0.500
Si: 0.500 0.000 0.500
Cl: 0.500 0.500 0.000

Electronic total energy = -29.4 eV for the cell shown
N(E_F) = 4.1 states/eV per cell
Crystal system = monoclinic
ΔE_f (raw) = 0.6879 eV per atom

No. 4
The following is a DFT calculation (GGA-PBE) of a relaxed Y2CdPd3 crystal.

Cell: 7.427 3.831 17.622 Å, 90.00 90.00 90.00°
Sites, in units of the cell vectors:
Y: 0.103 0.250 0.212
Y: 0.153 0.250 0.427
Y: 0.347 0.750 0.927
Y: 0.397 0.750 0.712
Y: 0.603 0.250 0.288
Y: 0.653 0.250 0.073
Y: 0.847 0.750 0.573
Y: 0.897 0.750 0.788
Cd: 0.013 0.750 0.064
Cd: 0.487 0.250 0.564
Cd: 0.513 0.750 0.436
Cd: 0.987 0.250 0.936
Pd: 0.087 0.250 0.659
Pd: 0.208 0.250 0.810
Pd: 0.223 0.750 0.553
Pd: 0.277 0.250 0.053
Pd: 0.292 0.750 0.310
Pd: 0.413 0.750 0.159
Pd: 0.587 0.250 0.841
Pd: 0.708 0.250 0.690
Pd: 0.723 0.750 0.947
Pd: 0.777 0.250 0.447
Pd: 0.792 0.750 0.190
Pd: 0.913 0.750 0.341

Electronic total energy = -135.9 eV for the cell shown
N(E_F) = 10.3 states/eV per cell
Crystal system = orthorhombic